No. 1
Computed, not measured: a geometry-optimized KTlGeI4 structure at the PBE level of DFT.

The structure in extended XYZ format:
```
14
Lattice="8.1580 0.0000 0.0832 0.0000 8.0545 0.0000 -3.1020 0.0000 9.5365" Properties=species:S:1:pos:R:3 pbc="T T T"
I 5.7976 4.0625 7.2235
K 0.2287 2.0136 5.4349
K 4.8273 6.0409 4.1848
I 1.9526 2.0136 8.7016
Tl 3.1257 6.0409 8.9982
I -0.7416 3.9920 2.3962
I 3.1034 6.0409 0.9181
Ge 1.0614 6.0409 2.9939
I 3.4045 2.0136 3.6643
I 1.6515 6.0409 5.9554
I 5.7976 8.0193 7.2235
Ge 3.9946 2.0136 6.6258
I -0.7416 0.0352 2.3962
Tl 1.9303 2.0136 0.6215
```

Formation energy from raw total energies, eV per atom: -0.69
VASP energy, Ry per atom: -0.201

***

No. 2
Computed, not measured: a geometry-optimized KTlGe2I6 structure at the PBE level of DFT.

The structure in extended XYZ format:
```
20
Lattice="10.7124 -0.1219 -0.1265 3.3751 9.6892 -0.7959 3.3751 -1.1545 9.6531" Properties=species:S:1:pos:R:3 pbc="T T T"
I 4.5385 1.9242 0.0650
I 10.1510 5.5992 5.3044
K 11.4094 -0.2298 8.5791
Ge 4.4163 3.9361 1.9650
I 7.3116 2.8137 3.4263
Ge 9.7726 1.7569 3.9430
K 6.0532 8.6427 0.1516
Tl 6.0532 1.7701 6.7740
I 13.7671 2.5042 8.5736
I 3.6955 5.9087 0.1571
Tl 11.4094 6.6429 1.9567
Ge 7.6900 6.6561 4.7877
I 4.7948 5.1542 5.8552
I 12.6678 3.2587 2.8755
Ge 13.0462 4.4768 6.7657
I 7.5679 8.4802 6.8686
I 9.8947 -0.0673 1.8621
I 12.9241 6.4887 8.6657
I 8.4109 8.5359 2.8834
I 9.0517 -0.1230 5.8473
```

Formation energy from raw total energies, eV per atom: -0.57
VASP energy, Ry per atom: -0.204

***

No. 3
Computed, not measured: a geometry-optimized KTl2GeI5 structure at the PBE level of DFT.

The structure in extended XYZ format:
```
18
Lattice="-1.0983 -3.3114 2.9975 9.7081 -2.2616 -2.4704 5.8672 10.3492 13.5828" Properties=species:S:1:pos:R:3 pbc="T T T"
Ge 7.1618 1.9767 8.3367
I 7.3690 -2.9584 -0.5683
I 5.1737 -2.0807 3.1260
I 2.2342 -0.0424 0.7718
I 4.3508 2.8712 8.2950
Tl 8.3875 -3.5575 2.6721
I 7.3343 2.3615 5.2961
I 1.4261 0.9898 5.1450
Tl 4.9085 6.2503 8.7033
I 13.3026 4.2301 9.5472
I 10.1427 1.1140 8.4759
Tl 10.3375 3.4025 11.0755
I 9.2269 6.0909 13.6384
I 8.2156 4.9381 8.4655
Ge 4.8389 -1.5686 0.0401
K 6.0546 7.5790 14.1201
Tl 4.2038 1.4871 3.1831
K 10.6265 1.0849 5.0920
```

Formation energy from raw total energies, eV per atom: -0.69
VASP energy, Ry per atom: -0.199

***

No. 4
Computed, not measured: a geometry-optimized La2GeI structure at the PBE level of DFT.

The structure in extended XYZ format:
```
4
Lattice="4.4039 0.0000 0.0000 2.2020 3.8139 0.0000 2.2020 1.2713 8.0491" Properties=species:S:1:pos:R:3 pbc="T T T"
Ge 6.6059 3.8139 8.0227
I 4.4039 2.5426 4.0601
La 2.2020 1.2713 6.4286
La 2.2020 1.2713 1.6113
```

Formation energy from raw total energies, eV per atom: -1.08
VASP energy, Ry per atom: -0.374
Distance to the lowest polymorph of the same formula, meV/atom: 24

***

No. 5
Computed, not measured: a geometry-optimized La4Ge2I5 structure at the PBE level of DFT.

The structure in extended XYZ format:
```
11
Lattice="-3.7837 -2.1902 -0.5191 4.2608 -6.2668 -4.6151 3.9129 -4.8587 10.6492" Properties=species:S:1:pos:R:3 pbc="T T T"
La 1.1330 -6.5100 0.5388
Ge 0.3557 -4.6950 -1.4527
Ge 4.0342 -8.6207 6.9677
La 3.0767 -4.5936 -3.0446
I 2.1631 -4.4126 2.8510
La 1.3131 -8.7222 8.5597
La 3.2569 -6.8058 4.9763
I 0.3190 -6.4717 6.3107
I -1.8919 -1.0951 -0.2596
I 2.2268 -8.9032 2.6641
I 4.0709 -6.8441 -0.7956
```

Formation energy from raw total energies, eV per atom: -1.20
VASP energy, Ry per atom: -0.333
Distance to the lowest polymorph of the same formula, meV/atom: 0

***

No. 6
Computed, not measured: a geometry-optimized La2Ge2I structure at the PBE level of DFT.

The structure in extended XYZ format:
```
10
Lattice="3.9987 0.0000 -0.9161 -0.8366 7.6157 -3.6517 0.2007 0.1155 10.0614" Properties=species:S:1:pos:R:3 pbc="T T T"
La 2.1208 4.9957 0.0722
I 1.3289 5.7118 -3.1870
Ge 0.1026 7.3198 0.4502
La 0.8237 6.5433 3.5955
La 1.2420 2.7354 5.4214
Ge 3.2602 0.4114 5.0434
I 1.8333 1.9039 -1.3808
Ge 0.5219 3.5119 2.2758
La 2.5391 1.1879 1.8981
Ge 2.8409 4.2193 3.2178
```

Formation energy from raw total energies, eV per atom: -1.02
VASP energy, Ry per atom: -0.378